# HWO2

A relaxed structure of HWO2 (PBE+U, Alexandria via LeMat-Bulk).

**ρ**: 10.7 g/cm³
**Size of the total moment**: 1.00 μB/cell
**DOS(E_F)**: 0.0 states/eV/cell
**Energy relative to the lowest polymorph listed for this composition**: 0.73 eV/f.u.

POSCAR file:
```
HWO2
1.0
0.000 2.559 2.559
2.559 0.000 2.559
2.559 2.559 0.000
H W O
1 1 2
direct
0.000 0.000 0.000
0.500 0.500 0.500
0.250 0.250 0.250
0.750 0.750 0.750
```